(P)
Compound: TlC4
Source: Alexandria via LeMat-Bulk
Functional: PBE-GGA
Structure: relaxed

Computed properties:
The calculation puts the spin magnetization at 0.11 μB per atom. Its calculated density is 4.81 g/cm³. The volume comes out at 87.1 Å³/f.u.

Cell lengths 4.433, 4.433, 4.433 Å; angles 90.00, 90.00, 90.00 degrees
Space group Pm-3m (No. 221)
One atom of each set of equivalent atoms:
Tl: 0.000 0.000 0.000 (multiplicity 1)
C: 0.000 0.000 0.500 (multiplicity 3)
C: 0.500 0.500 0.500 (multiplicity 1)


(Q)
Compound: TlC4
Source: Alexandria via LeMat-Bulk
Functional: PBE-GGA
Structure: relaxed

Computed properties:
The calculation puts the spin magnetization at 0.00 μB per atom. Its calculated density is 5.69 g/cm³. The volume comes out at 73.7 Å³/f.u.

Cell lengths 5.283, 5.283, 5.283 Å; angles 90.00, 90.00, 90.00 degrees
Space group Im-3m (No. 229)
One atom of each set of equivalent atoms:
Tl: 0.000 0.000 0.000 (multiplicity 2)
C: 0.250 0.250 0.250 (multiplicity 8)


Result of the stability comparison: (Q) is the most stable of them.